No. 1
A plane-wave DFT calculation with PBE was carried out for a relaxed structure of LaPm2SmEr5.

Properties
DOS at the Fermi energy	1.09	states/eV/atom
total energy	-4.41	eV per atom
symmetry	No. 140
crystal system	tetragonal
formation enthalpy at 0 K	0.251	eV per atom

a = 8.730 Å, b = 8.730 Å, c = 9.906 Å
α = 116.15°, β = 116.15°, γ = 90.00°
Fractional coordinates of all 18 atoms:
La (0.250, 0.250, 0.500)
La (0.750, 0.750, 0.500)
Pm (0.117, 0.383, 0.000)
Pm (0.617, 0.117, 0.000)
Pm (0.383, 0.883, 0.000)
Pm (0.883, 0.617, 0.000)
Sm (0.250, 0.750, 0.500)
Sm (0.750, 0.250, 0.500)
Er (0.927, 0.427, 0.271)
Er (0.656, 0.156, 0.729)
Er (0.073, 0.573, 0.729)
Er (0.156, 0.073, 0.729)
Er (0.573, 0.656, 0.729)
Er (0.844, 0.927, 0.271)
Er (0.427, 0.344, 0.271)
Er (0.344, 0.844, 0.271)
Er (0.500, 0.500, 0.000)
Er (0.000, 0.000, 0.000)

***

No. 2
A plane-wave DFT calculation with PBE was carried out for a relaxed structure of ReGeF2.

Properties
DOS at the Fermi energy	1.31	states/eV/atom
ΔE_f (raw)	246	meV per atom
offset from the most stable computed form	1146	meV/atom
total energy	-4.96	eV per atom
symmetry	No. 225
crystal system	cubic

a = 4.244 Å, b = 4.244 Å, c = 4.244 Å
α = 60.00°, β = 60.00°, γ = 60.00°
Site moments in Bohr magnetons follow the coordinates.
Fractional coordinates of all 4 atoms:
Re (0.500, 0.500, 0.500)  2.32
Ge (0.000, 0.000, 0.000)  -0.08
F (0.250, 0.250, 0.250)  0.06
F (0.750, 0.750, 0.750)  0.06

***

No. 3
A plane-wave DFT calculation with PBE was carried out for a relaxed structure of AcTePd3.

Properties
DOS at the Fermi energy	0.40	states/eV/atom
ΔE_f (raw)	-447	meV per atom
offset from the most stable computed form	301	meV/atom
total energy	-5.01	eV per atom
symmetry	No. 221
crystal system	cubic

a = 5.036 Å, b = 5.036 Å, c = 5.036 Å
α = 90.00°, β = 90.00°, γ = 90.00°
Fractional coordinates of all 5 atoms:
Ac (0.500, 0.500, 0.500)
Te (0.000, 0.000, 0.000)
Pd (0.000, 0.500, 0.000)
Pd (0.000, 0.000, 0.500)
Pd (0.500, 0.000, 0.000)

***

Copy entry 1 word for word.
A plane-wave DFT calculation with PBE was carried out for a relaxed structure of LaPm2SmEr5.

Properties
DOS at the Fermi energy	1.09	states/eV/atom
total energy	-4.41	eV per atom
symmetry	No. 140
crystal system	tetragonal
formation enthalpy at 0 K	0.251	eV per atom

a = 8.730 Å, b = 8.730 Å, c = 9.906 Å
α = 116.15°, β = 116.15°, γ = 90.00°
Fractional coordinates of all 18 atoms:
La (0.250, 0.250, 0.500)
La (0.750, 0.750, 0.500)
Pm (0.117, 0.383, 0.000)
Pm (0.617, 0.117, 0.000)
Pm (0.383, 0.883, 0.000)
Pm (0.883, 0.617, 0.000)
Sm (0.250, 0.750, 0.500)
Sm (0.750, 0.250, 0.500)
Er (0.927, 0.427, 0.271)
Er (0.656, 0.156, 0.729)
Er (0.073, 0.573, 0.729)
Er (0.156, 0.073, 0.729)
Er (0.573, 0.656, 0.729)
Er (0.844, 0.927, 0.271)
Er (0.427, 0.344, 0.271)
Er (0.344, 0.844, 0.271)
Er (0.500, 0.500, 0.000)
Er (0.000, 0.000, 0.000)

***

Which formula does entry 3 have?
AcTePd3